(1)
LiDy3In after structural relaxation, computed with PBE.

Unit cell a=8.375 b=6.736 c=10.356 alpha=90.00 beta=108.03 gamma=90.00
Fractional coordinates of all 20 atoms:
Li1 0.009 0.249 0.002
Li2 0.009 0.251 0.502
Li3 0.991 0.749 0.498
Li4 0.991 0.751 0.998
Dy1 0.218 0.005 0.804
Dy2 0.218 0.495 0.304
Dy3 0.222 0.004 0.306
Dy4 0.222 0.496 0.806
Dy5 0.406 0.749 0.601
Dy6 0.406 0.751 0.101
Dy7 0.594 0.249 0.899
Dy8 0.594 0.251 0.399
Dy9 0.778 0.504 0.194
Dy10 0.778 0.996 0.694
Dy11 0.782 0.505 0.696
Dy12 0.782 0.995 0.196
In1 0.378 0.250 0.095
In2 0.378 0.250 0.595
In3 0.622 0.750 0.405
In4 0.622 0.750 0.905

* calculated formation energy: -0.112 eV per atom

***

(2)
ZnHAu2 after structural relaxation, computed with PBE.

Unit cell a=4.351 b=4.351 c=4.351 alpha=60.00 beta=60.00 gamma=60.00
Fractional coordinates of all 4 atoms:
Zn1 0.000 0.000 0.000
H1 0.500 0.500 0.500
Au1 0.250 0.250 0.250
Au2 0.750 0.750 0.750

***

(3)
Na3Ga after structural relaxation, computed with PBE.

Unit cell a=7.544 b=7.544 c=4.170 alpha=90.00 beta=90.00 gamma=88.05
Fractional coordinates of all 8 atoms:
Na1 0.153 0.398 0.750
Na2 0.159 0.841 0.750
Na3 0.398 0.153 0.250
Na4 0.602 0.847 0.750
Na5 0.841 0.159 0.250
Na6 0.847 0.602 0.250
Ga1 0.422 0.578 0.250
Ga2 0.578 0.422 0.750

* calculated formation energy: 0.000 eV per atom

***

Short version: uncorrected energy = -3.803, -2.384, -1.746 eV/atom, in the order given.